# 1
AcSm2ErS6 after structural relaxation. Source: Alexandria, functional PBE.

final energy: -6.3406 eV per atom
volume: 278.7 Å³ per cell
theoretical density: 5.29 g/cm3

Cell lengths 7.155, 7.155, 7.523 Å; angles 61.60, 61.60, 60.00 degrees
Element x y z (fractional)
Ac1 0.805 0.805 0.585
Sm1 0.522 0.522 0.434
Sm2 0.014 0.015 0.956
Er1 0.318 0.318 0.047
S1 0.606 0.221 0.246
S2 0.221 0.927 0.246
S3 0.927 0.606 0.246
S4 0.386 0.715 0.751
S5 0.715 0.148 0.751
S6 0.148 0.386 0.751

# 2
AcSmEr2S4 after structural relaxation. Source: Alexandria, functional PBE.

final energy: -6.2722 eV per atom
volume: 183.2 Å³ per cell
theoretical density: 7.61 g/cm3

Cell lengths 3.932, 7.174, 6.847 Å; angles 71.57, 90.00, 90.00 degrees
Element x y z (fractional)
Ac1 0.500 0.500 0.000
Sm1 0.000 0.500 0.500
Er1 0.000 0.000 0.000
Er2 0.500 0.000 0.500
S1 0.000 0.779 0.733
S2 0.000 0.221 0.267
S3 0.500 0.773 0.249
S4 0.500 0.227 0.751

# 3
AcSmEr4S8 after structural relaxation. Source: Alexandria, functional PBE.

final energy: -6.2100 eV per atom
volume: 382.5 Å³ per cell
theoretical density: 5.66 g/cm3

Cell lengths 8.115, 8.115, 8.181 Å; angles 60.26, 60.26, 60.00 degrees
Element x y z (fractional)
Ac1 0.374 0.374 0.878
Sm1 0.998 0.998 0.007
Er1 0.626 0.626 0.122
Er2 0.998 0.507 0.497
Er3 0.507 0.998 0.497
Er4 0.998 0.998 0.497
S1 0.239 0.795 0.726
S2 0.795 0.239 0.726
S3 0.239 0.239 0.726
S4 0.234 0.234 0.299
S5 0.750 0.235 0.265
S6 0.235 0.750 0.265
S7 0.750 0.750 0.265
S8 0.757 0.757 0.728

Which value of theoretical density does entry 2 give?
7.61 g/cm3